A plane-wave DFT calculation with GGA-PBE was carried out for SrBe2Mo after structural relaxation.

a = 3.8491 Å, b = 3.8491 Å, c = 6.2274 Å
α = 71.95°, β = 71.95°, γ = 60.02°
Last column: nearest neighbours and their distance in Å.
Sites, in units of the cell vectors:
Mo 0.4488 0.4488 0.6538  6 Be 2.39-2.40
Be 0.0633 0.0633 0.8098  3 Be 2.22, 3 Mo 2.40
Sr 0.2571 0.2571 0.2292  7 Be 3.30-3.38, 4 Mo 3.32-3.35
Be 0.7309 0.7309 0.8072  3 Be 2.22, 3 Mo 2.39

* calculated total energy: -18.38 eV per cell
* symmetry: R3m, No. 160
* energy relative to the elements: 0.396 eV/atom
* ΔE to the lowest computed polymorph: 18 meV per atom

A plane-wave DFT calculation with GGA-PBE was carried out for KPuMoN4 after structural relaxation.

a = 5.9089 Å, b = 5.8542 Å, c = 8.1698 Å
α = 90.00°, β = 110.26°, γ = 90.00°
Last column: nearest neighbours and their distance in Å.
Sites, in units of the cell vectors:
N 0.9793 0.4915 0.6629  1 Mo 1.89
N 0.4689 0.7500 0.5490  1 Mo 1.83
Mo 0.2321 0.7500 0.3338  4 N 1.83-1.90
N 0.5311 0.2500 0.4510  1 Mo 1.83
Pu 0.7877 0.7500 0.4602  6 N 2.19-2.42
Mo 0.7679 0.2500 0.6662  4 N 1.83-1.90
Pu 0.2123 0.2500 0.5398  6 N 2.19-2.42
N 0.5324 0.2500 0.7762  1 Mo 1.90
N 0.9793 0.0085 0.6629  1 Mo 1.89
N 0.4676 0.7500 0.2238  1 Mo 1.90
K 0.6053 0.2500 0.1364  4 N 2.75-2.87
N 0.0207 0.9915 0.3371  1 Mo 1.89
K 0.3947 0.7500 0.8636  4 N 2.75-2.87
N 0.0207 0.5085 0.3371  1 Mo 1.89

* calculated total energy: -125.34 eV per cell
* symmetry: P2_1/m, No. 11
* ΔE_f (raw): -42.82 kJ/mol of atoms

A plane-wave DFT calculation with GGA-PBE was carried out for Ga2HgPb8 after structural relaxation.

a = 4.8251 Å, b = 7.8206 Å, c = 9.0945 Å
α = 104.33°, β = 105.38°, γ = 90.00°
Last column: nearest neighbours and their distance in Å.
Sites, in units of the cell vectors:
Pb 0.6007 0.4698 0.2015  3 Ga 3.28-3.32, 7 Pb 3.41-3.57, 1 Hg 3.65
Pb 0.3993 0.5302 0.7985  3 Ga 3.28-3.32, 7 Pb 3.41-3.57, 1 Hg 3.65
Hg 0.5000 0.0000 0.0000  12 Pb 3.40-3.65
Ga 0.2290 0.6315 0.4580  10 Pb 3.28-3.54, 2 Ga 3.37
Pb 0.8564 0.8014 0.7127  3 Ga 3.32-3.33, 7 Pb 3.42-3.60, 2 Hg 3.55
Pb 0.6810 0.9156 0.3620  1 Hg 3.40, 8 Pb 3.41-3.45, 3 Ga 3.49-3.52
Ga 0.7710 0.3685 0.5420  10 Pb 3.28-3.54, 2 Ga 3.37
Pb 0.0440 0.7341 0.0879  2 Hg 3.40, 9 Pb 3.44-3.60, 1 Ga 3.54
Pb 0.9560 0.2659 0.9121  2 Hg 3.40, 9 Pb 3.44-3.60, 1 Ga 3.54
Pb 0.1436 0.1986 0.2873  3 Ga 3.32-3.33, 7 Pb 3.42-3.60, 2 Hg 3.55
Pb 0.3190 0.0844 0.6380  1 Hg 3.40, 8 Pb 3.41-3.45, 3 Ga 3.49-3.53

* calculated total energy: -35.59 eV per cell
* symmetry: C2/m, No. 12
* energy relative to the elements: 0.039 eV/atom
* ΔE to the lowest computed polymorph: 0 meV per atom

A plane-wave DFT calculation with GGA-PBE was carried out for Na2TcGeTe after structural relaxation.

a = 5.5183 Å, b = 4.9593 Å, c = 5.5183 Å
α = 90.00°, β = 90.00°, γ = 90.00°
Last column: nearest neighbours and their distance in Å.
Sites, in units of the cell vectors:
Na 0.0000 0.0000 0.5000  2 Tc 2.76
Tc 0.0000 0.0000 0.0000  2 Te 2.48, 4 Na 2.76
Te 0.0000 0.5000 0.0000  2 Tc 2.48
Ge 0.5000 0.5000 0.5000  8 Na 3.71, 4 Te 3.90
Na 0.5000 0.0000 0.0000  2 Tc 2.76

* calculated total energy: -16.69 eV per cell
* symmetry: P4/mmm, No. 123
* ΔE_f (raw): 78.67 kJ/mol of atoms

A plane-wave DFT calculation with GGA-PBE was carried out for TiCu2Au2 after structural relaxation.

a = 7.1156 Å, b = 7.1156 Å, c = 3.2017 Å
α = 90.00°, β = 90.00°, γ = 90.00°
Last column: nearest neighbours and their distance in Å.
Sites, in units of the cell vectors:
Au 0.8599 0.6401 0.0000  6 Cu 2.57-2.67, 2 Ti 2.75, 1 Au 2.82
Cu 0.1601 0.6601 0.5000  6 Au 2.57-2.67
Ti 0.0000 0.0000 0.0000  4 Au 2.75
Au 0.3599 0.8599 0.0000  6 Cu 2.57-2.67, 2 Ti 2.75, 1 Au 2.82
Cu 0.8399 0.3399 0.5000  6 Au 2.57-2.67
Au 0.1401 0.3599 0.0000  6 Cu 2.57-2.67, 2 Ti 2.75, 1 Au 2.82
Ti 0.5000 0.5000 0.0000  4 Au 2.75
Cu 0.3399 0.1601 0.5000  6 Au 2.57-2.67
Au 0.6401 0.1401 0.0000  6 Cu 2.57-2.67, 2 Ti 2.75, 1 Au 2.82
Cu 0.6601 0.8399 0.5000  6 Au 2.57-2.67

* calculated total energy: -44.93 eV per cell
* symmetry: P4/mbm, No. 127
* energy relative to the elements: 0.036 eV/atom
* ΔE to the lowest computed polymorph: 240 meV per atom

A plane-wave DFT calculation with GGA-PBE was carried out for Nd2YCd2Ag2 after structural relaxation.

a = 4.9019 Å, b = 4.9019 Å, c = 9.3084 Å
α = 74.73°, β = 74.73°, γ = 60.00°
Last column: nearest neighbours and their distance in Å.
Sites, in units of the cell vectors:
Ag 0.6067 0.6067 0.1799  3 Cd 2.83
Nd 0.8761 0.8761 0.3717  3 Cd 3.22, 1 Y 3.30, 3 Ag 3.30
Nd 0.1239 0.1239 0.6283  3 Cd 3.22, 1 Y 3.30, 3 Ag 3.30
Cd 0.7325 0.7325 0.8024  3 Ag 2.83
Y 0.0000 0.0000 0.0000  6 Ag 3.25, 2 Nd 3.30, 6 Cd 3.33
Cd 0.2675 0.2675 0.1976  3 Ag 2.83
Ag 0.3933 0.3933 0.8201  3 Cd 2.83

* calculated total energy: -24.88 eV per cell
* symmetry: R-3m, No. 166
* energy relative to the elements: -0.192 eV/atom

A plane-wave DFT calculation with GGA-PBE was carried out for Mn3CrHg after structural relaxation.

a = 4.4043 Å, b = 4.4043 Å, c = 4.4043 Å
α = 90.00°, β = 90.00°, γ = 90.00°
Last column: nearest neighbours and their distance in Å.
Sites, in units of the cell vectors:
Mn 0.0000 0.0000 0.5000  2 Cr 2.20
Hg 0.5000 0.5000 0.5000  12 Mn 3.11
Mn 0.0000 0.5000 0.0000  2 Cr 2.20
Mn 0.5000 0.0000 0.0000  2 Cr 2.20
Cr 0.0000 0.0000 0.0000  6 Mn 2.20

* calculated total energy: -32.84 eV per cell
* symmetry: Pm-3m, No. 221
* energy relative to the elements: 0.918 eV/atom

A plane-wave DFT calculation with GGA-PBE was carried out for Cs3Ag2BiBr9 after structural relaxation.

a = 7.9765 Å, b = 7.9765 Å, c = 9.8418 Å
α = 90.00°, β = 90.00°, γ = 120.00°
Last column: nearest neighbours and their distance in Å.
Sites, in units of the cell vectors:
Br 0.3388 0.1694 0.6687  1 Bi 2.87, 1 Ag 2.88
Br 0.6612 0.8306 0.3313  1 Bi 2.87, 1 Ag 2.88
Ag 0.3333 0.6667 0.1514  6 Br 2.74-2.88
Cs 0.0000 0.0000 0.0000  12 Br 3.99-4.01
Br 0.8306 0.1694 0.6687  1 Bi 2.87, 1 Ag 2.88
Ag 0.6667 0.3333 0.8486  6 Br 2.74-2.88
Bi 0.0000 0.0000 0.5000  6 Br 2.87
Br 0.8306 0.6612 0.6687  1 Bi 2.87, 1 Ag 2.88
Br 0.1694 0.3388 0.3313  1 Bi 2.87, 1 Ag 2.88
Br 0.5000 0.5000 0.0000  2 Ag 2.74
Cs 0.6667 0.3333 0.3188  12 Br 3.89-4.12
Cs 0.3333 0.6667 0.6812  12 Br 3.89-4.12
Br 0.1694 0.8306 0.3313  1 Bi 2.87, 1 Ag 2.88
Br 0.5000 0.0000 0.0000  2 Ag 2.74
Br 0.0000 0.5000 0.0000  2 Ag 2.74

* calculated total energy: -42.85 eV per cell
* symmetry: P-3m1, No. 164
* ΔE_f (raw): -100.64 kJ/mol of atoms